No. 1
Crystalline Cu2ReSi at its relaxed geometry. Source: Alexandria, functional PBEsol.

Summary:
* uncorrected formation energy: 307 meV per atom
* E_tot: -6.630 eV/atom
* volume: 51.0 Å³ per cell

Cell: 3.1999 3.1999 4.9775 Å, 90.00 90.00 90.00°
Last column: nearest neighbours and their distance in Å.
Space group P4/mmm (No. 123)
Inequivalent atoms, fractional coordinates:
Cu1 0.0000 0.0000 0.2467 (multiplicity 2)  2 Cu 2.46-2.52, 4 Si 2.57, 4 Re 2.59
Re1 0.5000 0.5000 0.5000 (multiplicity 1)  2 Si 2.49, 8 Cu 2.59
Si1 0.5000 0.5000 0.0000 (multiplicity 1)  2 Re 2.49, 8 Cu 2.57

No. 2
Crystalline CuReSi at its relaxed geometry. Source: Alexandria, functional PBEsol.

Summary:
* uncorrected formation energy: 13 meV per atom
* E_tot: -7.792 eV/atom
* volume: 37.6 Å³ per cell
* distance to the lowest polymorph of the same formula: 0.000 eV/atom

Cell: 4.0801 4.0801 2.6111 Å, 90.00 90.00 120.00°
Last column: nearest neighbours and their distance in Å.
Space group P3m1 (No. 156)
Inequivalent atoms, fractional coordinates:
Cu1 0.0000 0.0000 0.0000 (multiplicity 1)  3 Si 2.36, 2 Cu 2.61
Re1 0.3333 0.6667 0.5000 (multiplicity 1)  2 Re 2.61, 6 Si 2.69-2.70, 6 Cu 2.69
Si1 0.6667 0.3333 0.9959 (multiplicity 1)  3 Cu 2.36, 2 Si 2.61

No. 3
Crystalline CuReSi at its relaxed geometry. Source: Alexandria, functional PBEsol.

Summary:
* uncorrected formation energy: 118 meV per atom
* E_tot: -7.686 eV/atom
* volume: 76.2 Å³ per cell
* distance to the lowest polymorph of the same formula: 0.105 eV/atom

Cell: 2.9907 2.9907 8.5247 Å, 90.00 90.00 90.00°
Last column: nearest neighbours and their distance in Å.
Space group I4mm (No. 107)
Inequivalent atoms, fractional coordinates:
Cu1 0.0000 0.0000 0.0000 (multiplicity 2)  4 Si 2.49, 5 Re 2.65-2.67
Re1 0.0000 0.0000 0.6870 (multiplicity 2)  4 Si 2.51, 5 Cu 2.65-2.67
Si1 0.0000 0.0000 0.3457 (multiplicity 2)  4 Cu 2.49, 4 Re 2.51

No. 4
Crystalline Cu2ReSi at its relaxed geometry. Source: Alexandria, functional PBEsol.

Summary:
* uncorrected formation energy: 255 meV per atom
* E_tot: -6.682 eV/atom
* volume: 102.9 Å³ per cell

Cell: 3.6073 3.6392 7.8405 Å, 90.00 90.00 90.00°
Last column: nearest neighbours and their distance in Å.
Space group Cmmm (No. 65)
Inequivalent atoms, fractional coordinates:
Cu1 0.0000 0.0000 0.2426 (multiplicity 4)  4 Cu 2.56, 4 Si 2.62-2.63, 4 Re 2.71-2.72
Re1 0.0000 0.5000 0.5000 (multiplicity 2)  4 Re 2.56, 8 Cu 2.71-2.72
Si1 0.0000 0.5000 0.0000 (multiplicity 2)  4 Si 2.56, 8 Cu 2.62-2.63

No. 5
Crystalline CuRe3Sn at its relaxed geometry. Source: Alexandria, functional PBEsol.

Summary:
* energy of formation: 3.224 eV/atom
* E_tot: -6.494 eV/atom
* volume: 108.0 Å³ per cell

Cell: 4.7615 4.7615 4.7615 Å, 90.00 90.00 90.00°
Last column: nearest neighbours and their distance in Å.
Space group Pm-3m (No. 221)
Inequivalent atoms, fractional coordinates:
Cu1 0.0000 0.0000 0.0000 (multiplicity 1)  12 Re 3.37
Re1 0.0000 0.5000 0.5000 (multiplicity 3)  2 Sn 2.38
Sn1 0.5000 0.5000 0.5000 (multiplicity 1)  6 Re 2.38

No. 6
Crystalline SrCuRe2 at its relaxed geometry. Source: Alexandria, functional PBEsol.

Summary:
* energy of formation: 0.450 eV/atom
* E_tot: -7.759 eV/atom
* volume: 72.8 Å³ per cell
* distance to the lowest polymorph of the same formula: 0.000 eV/atom

Cell: 3.1226 3.1226 7.4637 Å, 90.00 90.00 90.00°
Last column: nearest neighbours and their distance in Å.
Space group P4mm (No. 99)
Inequivalent atoms, fractional coordinates:
Sr1 0.0000 0.0000 0.0000 (multiplicity 1)  4 Sr 3.12, 4 Cu 3.17, 4 Re 3.28
Cu1 0.5000 0.5000 0.3047 (multiplicity 1)  5 Re 2.65-2.77
Re1 0.0000 0.0000 0.5018 (multiplicity 1)  4 Re 2.56, 4 Cu 2.65
Re2 0.5000 0.5000 0.6753 (multiplicity 1)  4 Re 2.56, 1 Cu 2.77

No. 7
Crystalline SrCu2Re at its relaxed geometry. Source: Alexandria, functional PBEsol.

Summary:
* energy of formation: 0.596 eV/atom
* E_tot: -5.364 eV/atom
* volume: 68.9 Å³ per cell
* distance to the lowest polymorph of the same formula: 0.000 eV/atom

Cell: 3.1688 3.1688 6.8574 Å, 90.00 90.00 90.00°
Last column: nearest neighbours and their distance in Å.
Space group P4/mmm (No. 123)
Inequivalent atoms, fractional coordinates:
Sr1 0.0000 0.0000 0.0000 (multiplicity 1)  8 Cu 3.13, 4 Sr 3.17, 2 Re 3.43
Cu1 0.5000 0.5000 0.3178 (multiplicity 2)  1 Cu 2.50, 4 Re 2.57
Re1 0.0000 0.0000 0.5000 (multiplicity 1)  8 Cu 2.57

No. 8
Crystalline SrCuRe2 at its relaxed geometry. Source: Alexandria, functional PBEsol.

Summary:
* energy of formation: 1.065 eV/atom
* E_tot: -7.145 eV/atom
* volume: 70.3 Å³ per cell
* distance to the lowest polymorph of the same formula: 0.615 eV/atom

Cell: 3.7764 3.7764 4.9265 Å, 90.00 90.00 90.00°
Last column: nearest neighbours and their distance in Å.
Space group P4/mmm (No. 123)
Inequivalent atoms, fractional coordinates:
Sr1 0.0000 0.0000 0.0000 (multiplicity 1)  4 Cu 2.67
Cu1 0.5000 0.5000 0.0000 (multiplicity 1)  4 Sr 2.67
Re1 0.0000 0.5000 0.5000 (multiplicity 2)  4 Re 2.67

No. 9
Crystalline SrCuRe2 at its relaxed geometry. Source: Alexandria, functional PBEsol.

Summary:
* energy of formation: 0.704 eV/atom
* E_tot: -7.506 eV/atom
* volume: 135.2 Å³ per cell
* distance to the lowest polymorph of the same formula: 0.253 eV/atom

Cell: 2.7287 4.6555 10.6458 Å, 90.00 90.00 90.00°
Last column: nearest neighbours and their distance in Å.
Space group Immm (No. 71)
Inequivalent atoms, fractional coordinates:
Sr1 0.0000 0.0000 0.0000 (multiplicity 2)  4 Cu 2.70, 2 Sr 2.73
Cu1 0.0000 0.0000 0.5000 (multiplicity 2)  4 Re 2.68, 4 Sr 2.70, 2 Cu 2.73
Re1 0.0000 0.5000 0.2172 (multiplicity 4)  2 Cu 2.68, 6 Re 2.73-2.79

No. 10
Crystalline SrCu2Re at its relaxed geometry. Source: Alexandria, functional PBEsol.

Summary:
* energy of formation: 0.910 eV/atom
* E_tot: -5.050 eV/atom
* volume: 146.1 Å³ per cell
* distance to the lowest polymorph of the same formula: 0.314 eV/atom

Cell: 4.3190 5.1006 6.6329 Å, 90.00 90.00 90.00°
Last column: nearest neighbours and their distance in Å.
Space group Immm (No. 71)
Inequivalent atoms, fractional coordinates:
Sr1 0.0000 0.0000 0.0000 (multiplicity 2)  8 Cu 2.87-2.94
Cu1 0.0000 0.5000 0.2000 (multiplicity 4)  2 Re 2.53, 1 Cu 2.65
Re1 0.0000 0.0000 0.5000 (multiplicity 2)  4 Cu 2.53

No. 11
Crystalline Sr2CuRe at its relaxed geometry. Source: Alexandria, functional PBEsol.

Summary:
* energy of formation: 1.088 eV/atom
* E_tot: -4.248 eV/atom
* volume: 181.2 Å³ per cell

Cell: 4.4668 4.4668 9.0832 Å, 90.00 90.00 90.00°
Last column: nearest neighbours and their distance in Å.
Space group I-4m2 (No. 119)
Inequivalent atoms, fractional coordinates:
Sr1 0.0000 0.0000 0.0000 (multiplicity 2)  4 Cu 3.16, 4 Re 3.19, 4 Sr 3.19
Sr2 0.0000 0.5000 0.2500 (multiplicity 2)  4 Re 3.16, 4 Cu 3.19, 4 Sr 3.19
Cu1 0.0000 0.0000 0.5000 (multiplicity 2)  8 Sr 3.16-3.19, 4 Re 3.19
Re1 0.0000 0.5000 0.7500 (multiplicity 2)  8 Sr 3.16-3.19, 4 Cu 3.19

No. 12
Crystalline TaCuRe2 at its relaxed geometry. Source: Alexandria, functional PBEsol.

Summary:
* energy of formation: 0.097 eV/atom
* E_tot: -10.790 eV/atom
* volume: 58.9 Å³ per cell
* distance to the lowest polymorph of the same formula: 0.000 eV/atom

Cell: 2.7961 3.8888 5.4132 Å, 90.00 90.00 90.00°
Last column: nearest neighbours and their distance in Å.
Space group Pmm2 (No. 25)
Inequivalent atoms, fractional coordinates:
Ta1 0.0000 0.0000 0.0000 (multiplicity 1)  6 Re 2.68-2.82, 4 Cu 2.74, 2 Ta 2.80
Cu1 0.5000 0.5000 0.2444 (multiplicity 1)  6 Re 2.60-2.81, 4 Ta 2.74, 2 Cu 2.80
Re1 0.0000 0.0000 0.5048 (multiplicity 1)  6 Re 2.67-2.80, 2 Ta 2.68-2.73, 4 Cu 2.78
Re2 0.5000 0.5000 0.7245 (multiplicity 1)  2 Cu 2.60-2.81, 6 Re 2.67-2.80, 4 Ta 2.82